(1)
# Cd2Si

A relaxed Cd2Si crystal (PBE, Alexandria).

The value obtained for the uncorrected formation energy is 0.275 eV per atom. As for the symmetry: C2/m (12).

Cell lengths 7.334, 7.334, 6.469 Å; angles 100.04, 100.04, 22.45 degrees
Fractional positions:
Cd 0.110 0.110 0.131
Cd 0.207 0.207 0.686
Cd 0.793 0.793 0.314
Cd 0.890 0.890 0.869
Si 0.467 0.467 0.316
Si 0.533 0.533 0.684

---

(2)
# CdSi3

A relaxed CdSi3 crystal (PBE, Alexandria).

The polymorph energy (0 for the lowest one) is 1.332 eV/atom. The value obtained for the uncorrected formation energy is 1.708 eV per atom. As for the symmetry: Pm-3m (221).

Cell lengths 5.126, 5.126, 5.126 Å; angles 90.00, 90.00, 90.00 degrees
Fractional positions:
Cd 0.000 0.000 0.000
Si 0.000 0.000 0.500
Si 0.000 0.500 0.000
Si 0.500 0.000 0.000